No. 1
Below is an optimized crystal structure of Pm9Tm2Sc, with properties calculated at the PBE level.

**Energy of formation from the pure elements**: 0.0238 eV per atom
**V**: 32.7 A^3/atom
**Density of states at the Fermi level**: 18.1 states/eV per cell

```
data_Pm9Tm2Sc
_cell_length_a 5.077
_cell_length_b 5.077
_cell_length_c 15.234
_cell_angle_alpha 90.00
_cell_angle_beta 90.00
_cell_angle_gamma 90.00
_symmetry_space_group_name_H-M 'P 4/m m m'
_symmetry_Int_Tables_number 123
_symmetry_space_group_name_Hall '-P 4 2'
loop_
_atom_site_label
_atom_site_type_symbol
_atom_site_fract_x
_atom_site_fract_y
_atom_site_fract_z
_atom_site_occupancy
Pm1 Pm 0.000 0.000 0.000 1
Pm2 Pm 0.000 0.000 0.332 1
Pm3 Pm 0.000 0.500 0.163 1
Pm4 Pm 0.000 0.500 0.500 1
Tm1 Tm 0.500 0.500 0.332 1
Sc1 Sc 0.500 0.500 0.000 1
```

***

No. 2
Below is an optimized crystal structure of AcLa2Pd3, with properties calculated at the PBE level.

**Energy of formation from the pure elements**: -0.7631 eV per atom
**V**: 28.6 A^3/atom
**Density of states at the Fermi level**: 57.7 states/eV per cell

```
data_AcLa2Pd3
_cell_length_a 8.666
_cell_length_b 12.250
_cell_length_c 25.834
_cell_angle_alpha 90.00
_cell_angle_beta 90.00
_cell_angle_gamma 90.00
_symmetry_space_group_name_H-M 'F d d d'
_symmetry_Int_Tables_number 70
loop_
_symmetry_equiv_pos_as_xyz
'x,y,z'
'-x,-y,-z'
'-x+1/4,-y+1/4,z'
'x+1/4,y+1/4,-z'
'x,-y+1/4,-z+1/4'
'-x,y+1/4,z+1/4'
'-x+1/4,y,-z+1/4'
'x+1/4,-y,z+1/4'
'x,y+1/2,z+1/2'
'-x,-y+1/2,-z+1/2'
'-x+1/4,-y+3/4,z+1/2'
'x+1/4,y+3/4,-z+1/2'
'x,-y+3/4,-z+3/4'
'-x,y+3/4,z+3/4'
'-x+1/4,y+1/2,-z+3/4'
'x+1/4,-y+1/2,z+3/4'
'x+1/2,y,z+1/2'
'-x+1/2,-y,-z+1/2'
'-x+3/4,-y+1/4,z+1/2'
'x+3/4,y+1/4,-z+1/2'
'x+1/2,-y+1/4,-z+3/4'
'-x+1/2,y+1/4,z+3/4'
'-x+3/4,y,-z+3/4'
'x+3/4,-y,z+3/4'
'x+1/2,y+1/2,z'
'-x+1/2,-y+1/2,-z'
'-x+3/4,-y+3/4,z'
'x+3/4,y+3/4,-z'
'x+1/2,-y+3/4,-z+1/4'
'-x+1/2,y+3/4,z+1/4'
'-x+3/4,y+1/2,-z+1/4'
'x+3/4,-y+1/2,z+1/4'
loop_
_atom_site_label
_atom_site_type_symbol
_atom_site_fract_x
_atom_site_fract_y
_atom_site_fract_z
_atom_site_occupancy
Ac1 Ac 0.125 0.125 0.042 1
La1 La 0.125 0.125 0.374 1
La2 La 0.125 0.125 0.541 1
Pd1 Pd 0.118 0.375 0.875 1
Pd2 Pd 0.121 0.371 0.707 1
```

***

No. 3
Below is an optimized crystal structure of Sc5TlSe4, with properties calculated at the PBE level.

**Formation energy (no corrections)**: -13.1 eV/f.u.
**V**: 21.6 A^3/atom
**Density of states at the Fermi level**: 9.3 states/eV per cell

```
data_Sc5TlSe4
_cell_length_a 8.796
_cell_length_b 8.796
_cell_length_c 5.573
_cell_angle_alpha 90.00
_cell_angle_beta 90.00
_cell_angle_gamma 90.00
_symmetry_space_group_name_H-M 'I 4/m'
_symmetry_Int_Tables_number 87
_symmetry_space_group_name_Hall '-I 4'
loop_
_atom_site_label
_atom_site_type_symbol
_atom_site_fract_x
_atom_site_fract_y
_atom_site_fract_z
_atom_site_occupancy
Sc1 Sc 0.000 0.000 0.000 1
Sc2 Sc 0.100 0.692 0.500 1
Tl1 Tl 0.000 0.000 0.500 1
Se1 Se 0.102 0.700 0.000 1
```

***

No. 4
Below is an optimized crystal structure of Ru3Pt2, with properties calculated at the PBE level.

**Energy above the most stable polymorph in this dataset**: 402 meV/atom
**Energy of formation from the pure elements**: 0.4232 eV per atom
**V**: 15.0 A^3/atom
**Density of states at the Fermi level**: 21.5 states/eV per cell

```
data_Ru3Pt2
_cell_length_a 4.4007
_cell_length_b 4.4007
_cell_length_c 13.4565
_cell_angle_alpha 90.00
_cell_angle_beta 90.00
_cell_angle_gamma 120.00
_symmetry_space_group_name_H-M 'R -3 m'
_symmetry_Int_Tables_number 166
_symmetry_space_group_name_Hall '-R 3 2"'
loop_
_atom_site_label
_atom_site_type_symbol
_atom_site_fract_x
_atom_site_fract_y
_atom_site_fract_z
_atom_site_occupancy
Ru1 Ru 0.0000 0.0000 0.0000 1
Ru2 Ru 0.0000 0.0000 0.1998 1
Pt1 Pt 0.0000 0.0000 0.4007 1
```

***

No. 5
Below is an optimized crystal structure of KLi2PuBr6, with properties calculated at the PBE level.

**Formation energy (no corrections)**: -15.4 eV/f.u.
**V**: 31.1 A^3/atom
**Density of states at the Fermi level**: 32.9 states/eV per cell

```
data_KLi2PuBr6
_cell_length_a 7.3245
_cell_length_b 7.3245
_cell_length_c 20.0754
_cell_angle_alpha 90.00
_cell_angle_beta 90.00
_cell_angle_gamma 120.00
_symmetry_space_group_name_H-M 'R 3'
_symmetry_Int_Tables_number 146
_symmetry_space_group_name_Hall 'R 3'
loop_
_atom_site_label
_atom_site_type_symbol
_atom_site_fract_x
_atom_site_fract_y
_atom_site_fract_z
_atom_site_occupancy
K1 K 0.0000 0.0000 0.0000 1
Li1 Li 0.0000 0.0000 0.2843 1
Li2 Li 0.0000 0.0000 0.7920 1
Pu1 Pu 0.0000 0.0000 0.4808 1
Br1 Br 0.0078 0.5896 0.0519 1
Br2 Br 0.0188 0.3356 0.8813 1
```

***

No. 6
Below is an optimized crystal structure of Al2Cu2Ag, with properties calculated at the PBE level.

**Energy above the most stable polymorph in this dataset**: 148 meV/atom
**Energy of formation from the pure elements**: 0.0527 eV per atom
**V**: 15.7 A^3/atom
**Density of states at the Fermi level**: 2.5 states/eV per cell

```
data_Al2Cu2Ag
_cell_length_a 3.413
_cell_length_b 3.413
_cell_length_c 13.470
_cell_angle_alpha 90.00
_cell_angle_beta 90.00
_cell_angle_gamma 90.00
_symmetry_space_group_name_H-M 'I 4/m m m'
_symmetry_Int_Tables_number 139
_symmetry_space_group_name_Hall '-I 4 2'
loop_
_atom_site_label
_atom_site_type_symbol
_atom_site_fract_x
_atom_site_fract_y
_atom_site_fract_z
_atom_site_occupancy
Al1 Al 0.000 0.000 0.106 1
Cu1 Cu 0.000 0.500 0.250 1
Ag1 Ag 0.000 0.000 0.500 1
```

***

No. 7
Below is an optimized crystal structure of Hf6FeTc5, with properties calculated at the PBE level.

**Energy of formation from the pure elements**: -0.4497 eV per atom
**V**: 17.1 A^3/atom
**Density of states at the Fermi level**: 22.6 states/eV per cell

```
data_Hf6FeTc5
_cell_length_a 4.598
_cell_length_b 6.484
_cell_length_c 13.785
_cell_angle_alpha 90.00
_cell_angle_beta 90.00
_cell_angle_gamma 90.00
_symmetry_space_group_name_H-M 'I m m m'
_symmetry_Int_Tables_number 71
_symmetry_space_group_name_Hall '-I 2 2'
loop_
_atom_site_label
_atom_site_type_symbol
_atom_site_fract_x
_atom_site_fract_y
_atom_site_fract_z
_atom_site_occupancy
Hf1 Hf 0.000 0.247 0.000 1
Hf2 Hf 0.000 0.251 0.335 1
Fe1 Fe 0.000 0.500 0.500 1
Tc1 Tc 0.000 0.000 0.166 1
Tc2 Tc 0.000 0.000 0.500 1
Tc3 Tc 0.000 0.500 0.166 1
```

***

No. 8
Below is an optimized crystal structure of CsLaTlTe3, with properties calculated at the PBE level.

**Formation energy (no corrections)**: -6.0 eV/f.u.
**V**: 45.5 A^3/atom
**Density of states at the Fermi level**: 5.8 states/eV per cell

```
data_CsLaTlTe3
_cell_length_a 10.124
_cell_length_b 4.871
_cell_length_c 11.564
_cell_angle_alpha 90.00
_cell_angle_beta 106.87
_cell_angle_gamma 90.00
_symmetry_space_group_name_H-M 'P 1 21/m 1'
_symmetry_Int_Tables_number 11
loop_
_symmetry_equiv_pos_as_xyz
'x,y,z'
'-x,-y,-z'
'-x,y+1/2,-z'
'x,-y+1/2,z'
loop_
_atom_site_label
_atom_site_type_symbol
_atom_site_fract_x
_atom_site_fract_y
_atom_site_fract_z
_atom_site_occupancy
Cs1 Cs 0.215 0.250 0.246 1
La1 La 0.330 0.750 0.871 1
Tl1 Tl 0.077 0.250 0.614 1
Te1 Te 0.116 0.250 0.883 1
Te2 Te 0.238 0.750 0.564 1
Te3 Te 0.468 0.750 0.156 1
```

***

No. 9
Below is an optimized crystal structure of Li6ZnGa12, with properties calculated at the PBE level.

**Energy of formation from the pure elements**: -0.1733 eV per atom
**V**: 17.0 A^3/atom
**Density of states at the Fermi level**: 18.1 states/eV per cell

```
data_Li6ZnGa12
_cell_length_a 9.8457
_cell_length_b 9.8457
_cell_length_c 11.5097
_cell_angle_alpha 90.00
_cell_angle_beta 90.00
_cell_angle_gamma 120.00
_symmetry_space_group_name_H-M 'R -3'
_symmetry_Int_Tables_number 148
_symmetry_space_group_name_Hall '-R 3'
loop_
_atom_site_label
_atom_site_type_symbol
_atom_site_fract_x
_atom_site_fract_y
_atom_site_fract_z
_atom_site_occupancy
Li1 Li 0.0258 0.4317 0.2076 1
Zn1 Zn 0.0000 0.0000 0.5000 1
Ga1 Ga 0.0375 0.1856 0.3156 1
Ga2 Ga 0.0513 0.8557 0.9079 1
```

***

No. 10
Below is an optimized crystal structure of CoSnSe, with properties calculated at the PBE level.

**Formation energy (no corrections)**: -0.1 eV/f.u.
**V**: 19.8 A^3/atom
**Density of states at the Fermi level**: 16.9 states/eV per cell

```
data_CoSnSe
_cell_length_a 5.539
_cell_length_b 13.028
_cell_length_c 6.573
_cell_angle_alpha 90.00
_cell_angle_beta 90.00
_cell_angle_gamma 90.00
_symmetry_space_group_name_H-M 'C m c e'
_symmetry_Int_Tables_number 64
_symmetry_space_group_name_Hall '-C 2ac 2'
loop_
_atom_site_label
_atom_site_type_symbol
_atom_site_fract_x
_atom_site_fract_y
_atom_site_fract_z
_atom_site_occupancy
Co1 Co 0.250 0.071 0.250 1
Sn1 Sn 0.000 0.098 0.623 1
Se1 Se 0.000 0.175 0.073 1
```